Entry 1:
SmAl2ZnAu2: optimized geometry, PBE-GGA.

abc: 4.4202 4.4202 6.9234
angles: 90.00 90.00 120.00
Atoms (fractional coordinates):
Sm: 0.0000 0.0000 0.0000
Al: 0.3333 0.6667 0.6916
Al: 0.6667 0.3333 0.3084
Zn: 0.0000 0.0000 0.5000
Au: 0.3333 0.6667 0.2835
Au: 0.6667 0.3333 0.7165

Values from the calculation:
- ΔH_f (0 K) (eV/f.u.) = -3.3
- space group = P-3m1
- DFT total energy (eV per atom) = -3.89


Entry 2:
SmAlZnAu: optimized geometry, PBE-GGA.

abc: 6.8503 6.8503 6.8503
angles: 90.00 90.00 90.00
Atoms (fractional coordinates):
Sm: 0.0000 0.0000 0.0000
Sm: 0.0000 0.5000 0.5000
Sm: 0.5000 0.0000 0.5000
Sm: 0.5000 0.5000 0.0000
Al: 0.0000 0.0000 0.5000
Al: 0.0000 0.5000 0.0000
Al: 0.5000 0.0000 0.0000
Al: 0.5000 0.5000 0.5000
Zn: 0.2500 0.2500 0.2500
Zn: 0.2500 0.7500 0.7500
Zn: 0.7500 0.2500 0.7500
Zn: 0.7500 0.7500 0.2500
Au: 0.2500 0.2500 0.7500
Au: 0.2500 0.7500 0.2500
Au: 0.7500 0.2500 0.2500
Au: 0.7500 0.7500 0.7500

Values from the calculation:
- ΔH_f (0 K) (eV/f.u.) = -2.0
- space group = F-43m
- DFT total energy (eV per atom) = -3.76